Here is crystalline ThInPdRh at its relaxed geometry from Alexandria. Energies are from PBE.

The calculation puts the volume at 84.7 Å³/cell. The calculation puts the density at 10.906 g/cm³. The calculation puts the formation energy at -731.0 meV/atom.

a = 4.6757 Å, b = 4.6757 Å, c = 5.2103 Å
α = 116.50°, β = 116.50°, γ = 60.19°
Positions (direct):
Th (0.0000, 0.0000, 0.0000)
In (0.4946, 0.4946, 0.4828)
Pd (0.2224, 0.2224, 0.6675)
Rh (0.7803, 0.7803, 0.3379)